Entry from Alexandria: a relaxed YMnTc2O8 crystal (PBE with a Hubbard U).

E   -7.913 eV per atom

a = 5.9280 Å, b = 5.9280 Å, c = 6.2872 Å
α = 90.00°, β = 90.00°, γ = 120.00°
Space group P-3m1 (No. 164)
Inequivalent atoms, fractional coordinates:
Y 0.0000 0.0000 0.0000 (multiplicity 1)
Mn 0.0000 0.0000 0.5000 (multiplicity 1)
Tc 0.3333 0.6667 0.3310 (multiplicity 2)
O 0.1602 0.3204 0.2490 (multiplicity 6)
O 0.3333 0.6667 0.6075 (multiplicity 2)